Computed, not measured: a relaxed structure of K3Cu2HgBr8 at the PBE level of DFT.

## Properties
Formation energy (no corrections): -0.90 eV/atom
Volume: 34.3 Å³/atom
M_tot: 0.069 μB per atom
Crystal system: trigonal

Cell: 7.6774 7.6774 9.4044 Å, 90.00 90.00 120.00°
Fractional positions:
Cu 0.3333 0.6667 0.1926
Cu 0.6667 0.3333 0.8074
Br 0.6626 0.8313 0.3125
Br 0.8313 0.6626 0.6875
Br 0.8313 0.1687 0.6875
Br 0.6667 0.3333 0.0526
Br 0.1687 0.3374 0.3125
Br 0.1687 0.8313 0.3125
Br 0.3333 0.6667 0.9474
Br 0.3374 0.1687 0.6875
Hg 0.0000 0.0000 0.5000
K 0.3333 0.6667 0.6082
K 0.6667 0.3333 0.3918
K 0.0000 0.0000 0.0000